No. 1
## Rb2BaCrBi (PBE-GGA)

Data for a relaxed structure of Rb2BaCrBi.

abc: 6.9716 5.6279 6.9716
angles: 90.00 90.00 90.00
Last column: nearest neighbours and their distance in Å.
Atoms (fractional coordinates):
Rb  0.5000  0.0000  0.0000  2 Ba 3.49
Bi  0.5000  0.5000  0.5000  8 Rb 4.48, 4 Cr 4.93
Rb  0.0000  0.0000  0.5000  2 Ba 3.49
Ba  0.0000  0.0000  0.0000  2 Cr 2.81
Cr  0.0000  0.5000  0.0000  2 Ba 2.81

Results
**V**: 273.5 Å³ per cell
**Crystal system**: tetragonal
**Symmetry**: P4/mmm (123)
**Calculated formation energy**: 1.074 eV per atom



No. 2
## Ca2PmI6 (PBE-GGA)

Data for a relaxed structure of Ca2PmI6.

abc: 4.3579 8.8768 11.6583
angles: 110.03 90.00 104.21
Last column: nearest neighbours and their distance in Å.
Atoms (fractional coordinates):
Pm  0.0000  0.0000  0.5000  6 I 3.18-3.20
I  0.6445  0.2889  0.5504  1 Ca 3.16, 2 Pm 3.20
Ca  0.6667  0.3335  0.8310  6 I 3.13-3.17
I  0.3555  0.7111  0.4496  1 Ca 3.16, 2 Pm 3.20
Ca  0.3332  0.6665  0.1690  6 I 3.13-3.17
I  0.3058  0.6117  0.8851  3 Ca 3.13-3.17
I  0.0266  0.0532  0.7839  2 Ca 3.15, 1 Pm 3.18
I  0.9734  0.9468  0.2161  2 Ca 3.15, 1 Pm 3.18
I  0.6942  0.3883  0.1149  3 Ca 3.13-3.17

Results
**V**: 409.0 Å³ per cell
**Crystal system**: monoclinic
**Symmetry**: C2/m (12)
**E_form (uncorrected)**: -1279 kJ/mol of formula units



| no. | ρ (g/cm³) |
| --- | --- |
| 1 | 3.5 |
| 2 | 4.0 |